(1)
Below is an optimized crystal structure of Mg2TaGa2, with properties calculated at the PBE level.

Structure (POSCAR):
```
Mg2TaGa2
1.0
-1.943 1.943 5.981
1.943 -1.943 5.981
1.943 1.943 -5.981
Mg Ta Ga
2 1 2
Direct
0.250 0.750 0.500
0.750 0.250 0.500
0.000 0.000 0.000
0.403 0.403 0.000
0.597 0.597 0.000
```

Computed properties:
D(E_F), states/eV per cell: 2.8
Crystal system: tetragonal
Volume, Å³/atom: 18.06
Uncorrected energy, eV per cell: -19.83
Energy of formation, eV/atom: 0.25
Relative energy among the computed polymorphs, meV/atom: 185

***

(2)
Below is an optimized crystal structure of MgTa2Ga2, with properties calculated at the PBE level.

Structure (POSCAR):
```
MgTa2Ga2
1.0
7.982 0.000 0.000
0.000 7.982 0.000
0.000 0.000 2.930
Mg Ta Ga
2 4 4
Direct
0.000 0.000 0.000
0.500 0.500 0.000
0.120 0.380 0.000
0.380 0.880 0.000
0.620 0.120 0.000
0.880 0.620 0.000
0.176 0.676 0.500
0.324 0.176 0.500
0.676 0.824 0.500
0.824 0.324 0.500
```

Computed properties:
D(E_F), states/eV per cell: 6.2
Crystal system: tetragonal
Volume, Å³/atom: 18.67
Uncorrected energy, eV per cell: -61.77
Energy of formation, eV/atom: 0.09
Relative energy among the computed polymorphs, meV/atom: 73

***

(3)
Below is an optimized crystal structure of Mg3TaGa, with properties calculated at the PBE level.

Structure (POSCAR):
```
Mg3TaGa
1.0
4.853 0.000 0.000
0.000 4.853 0.000
0.000 0.000 4.853
Mg Ta Ga
3 1 1
Direct
0.000 0.000 0.500
0.000 0.500 0.000
0.500 0.000 0.000
0.500 0.500 0.500
0.000 0.000 0.000
```

Computed properties:
D(E_F), states/eV per cell: 3.0
Crystal system: cubic
Volume, Å³/atom: 22.85
Uncorrected energy, eV per cell: -14.92
Energy of formation, eV/atom: 0.95
Relative energy among the computed polymorphs, meV/atom: 0

***

(4)
Below is an optimized crystal structure of MgTaGa2, with properties calculated at the PBE level.

Structure (POSCAR):
```
MgTaGa2
1.0
-3.586 3.586 2.890
3.586 -3.586 2.890
3.586 3.586 -2.890
Mg Ta Ga
2 2 4
Direct
0.000 0.000 0.000
0.750 0.250 0.500
0.250 0.750 0.500
0.500 0.500 0.000
0.121 0.125 0.496
0.375 0.879 0.004
0.629 0.625 0.504
0.875 0.371 0.996
```

Computed properties:
D(E_F), states/eV per cell: 7.0
Crystal system: tetragonal
Volume, Å³/atom: 18.58
Uncorrected energy, eV per cell: -36.35
Energy of formation, eV/atom: 0.33

***

(5)
Below is an optimized crystal structure of MgTa3Ga, with properties calculated at the PBE level.

Structure (POSCAR):
```
MgTa3Ga
1.0
4.704 0.000 0.000
0.000 4.704 0.000
0.000 0.000 4.704
Mg Ta Ga
1 3 1
Direct
0.000 0.000 0.000
0.000 0.000 0.500
0.000 0.500 0.000
0.500 0.000 0.000
0.500 0.500 0.500
```

Computed properties:
D(E_F), states/eV per cell: 0.1
Crystal system: cubic
Volume, Å³/atom: 20.82
Uncorrected energy, eV per cell: -31.23
Energy of formation, eV/atom: 1.79
Relative energy among the computed polymorphs, meV/atom: 681

***

(6)
Below is an optimized crystal structure of MgTa3Ga, with properties calculated at the PBE level.

Structure (POSCAR):
```
MgTa3Ga
1.0
4.770 0.000 0.000
0.000 4.770 0.000
0.000 0.000 4.770
Mg Ta Ga
1 3 1
Direct
0.000 0.000 0.000
0.000 0.500 0.500
0.500 0.000 0.500
0.500 0.500 0.000
0.500 0.500 0.500
```

Computed properties:
D(E_F), states/eV per cell: 0.6
Crystal system: cubic
Volume, Å³/atom: 21.70
Uncorrected energy, eV per cell: -34.63
Energy of formation, eV/atom: 1.11
Relative energy among the computed polymorphs, meV/atom: 0

***

(7)
Below is an optimized crystal structure of MgTaGa2, with properties calculated at the PBE level.

Structure (POSCAR):
```
MgTaGa2
1.0
1.506 0.870 9.123
-1.506 0.870 9.123
0.000 -1.739 9.123
Mg Ta Ga
1 1 2
Direct
0.000 0.000 0.000
0.500 0.500 0.500
0.249 0.249 0.249
0.751 0.751 0.751
```

Computed properties:
D(E_F), states/eV per cell: 2.2
Crystal system: trigonal
Volume, Å³/atom: 17.93
Uncorrected energy, eV per cell: -19.88
Energy of formation, eV/atom: -0.10

***

(8)
Below is an optimized crystal structure of Mg2TaGa2, with properties calculated at the PBE level.

Structure (POSCAR):
```
Mg2TaGa2
1.0
7.534 0.000 0.000
0.000 7.534 0.000
0.000 0.000 3.159
Mg Ta Ga
4 2 4
Direct
0.158 0.342 0.000
0.342 0.842 0.000
0.658 0.158 0.000
0.842 0.658 0.000
0.000 0.000 0.500
0.500 0.500 0.500
0.144 0.644 0.500
0.356 0.144 0.500
0.644 0.856 0.500
0.856 0.356 0.500
```

Computed properties:
D(E_F), states/eV per cell: 3.8
Crystal system: tetragonal
Volume, Å³/atom: 17.93
Uncorrected energy, eV per cell: -41.51
Energy of formation, eV/atom: 0.07
Relative energy among the computed polymorphs, meV/atom: 0

***

(9)
Below is an optimized crystal structure of MgTa2Ga2, with properties calculated at the PBE level.

Structure (POSCAR):
```
MgTa2Ga2
1.0
6.822 0.000 0.000
0.000 6.822 0.000
0.000 0.000 3.697
Mg Ta Ga
2 4 4
Direct
0.000 0.000 0.000
0.500 0.500 0.000
0.167 0.333 0.500
0.333 0.833 0.500
0.667 0.167 0.500
0.833 0.667 0.500
0.131 0.631 0.000
0.369 0.131 0.000
0.631 0.869 0.000
0.869 0.369 0.000
```

Computed properties:
D(E_F), states/eV per cell: 8.8
Crystal system: tetragonal
Volume, Å³/atom: 17.20
Uncorrected energy, eV per cell: -62.51
Energy of formation, eV/atom: 0.02
Relative energy among the computed polymorphs, meV/atom: 0

***

(10)
Below is an optimized crystal structure of MgTaGa2, with properties calculated at the PBE level.

Structure (POSCAR):
```
MgTaGa2
1.0
4.836 0.000 0.000
0.000 4.836 0.000
0.000 0.000 2.964
Mg Ta Ga
1 1 2
Direct
0.000 0.000 0.000
0.500 0.500 0.000
0.000 0.500 0.500
0.500 0.000 0.500
```

Computed properties:
D(E_F), states/eV per cell: 2.8
Crystal system: tetragonal
Volume, Å³/atom: 17.33
Uncorrected energy, eV per cell: -19.64
Energy of formation, eV/atom: -0.03

***

(11)
Below is an optimized crystal structure of Mg3TaGa, with properties calculated at the PBE level.

Structure (POSCAR):
```
Mg3TaGa
1.0
5.476 0.000 0.000
0.000 5.476 0.000
0.000 0.000 5.476
Mg Ta Ga
3 1 1
Direct
0.000 0.000 0.500
0.000 0.500 0.000
0.500 0.000 0.000
0.000 0.000 0.000
0.500 0.500 0.500
```

Computed properties:
D(E_F), states/eV per cell: 4.6
Crystal system: cubic
Volume, Å³/atom: 32.84
Uncorrected energy, eV per cell: -13.29
Energy of formation, eV/atom: 1.27
Relative energy among the computed polymorphs, meV/atom: 325

***

(12)
Below is an optimized crystal structure of Tb3Mg2Ga, with properties calculated at the PBE level.

Structure (POSCAR):
```
Tb3Mg2Ga
1.0
3.692 0.000 0.000
0.000 3.692 0.000
0.000 0.000 11.411
Tb Mg Ga
3 2 1
Direct
0.000 0.000 0.000
0.000 0.000 0.349
0.000 0.000 0.651
0.500 0.500 0.171
0.500 0.500 0.829
0.500 0.500 0.500
```

Computed properties:
D(E_F), states/eV per cell: 6.7
Crystal system: tetragonal
Volume, Å³/atom: 25.92
Uncorrected energy, eV per cell: -21.61
Energy of formation, eV/atom: -0.25

***

- The highest energy of formation belongs to which entry?
  number 5

***

- Look up the energy of formation of the third one.
  0.95 eV/atom

***

- energy of formation of number 6 (MgTa3Ga)?
  1.11 eV/atom

***

- Which of these has the lowest volume?
  number 9